(1)
Entry from OQMD via LeMat-Bulk: La3Sn6Pd4 after structural relaxation (GGA-PBE).

a = 17.0362 Å, b = 4.6610 Å, c = 15.7819 Å
α = 90.00°, β = 90.00°, γ = 90.00°
Last column: nearest neighbours and their distance in Å.
Fractional positions:
1 La 0.1157 0.2500 0.2486  9 Sn 3.41-3.77, 6 Pd 3.51-3.68
2 La 0.1416 0.7500 0.6183  6 Pd 3.45-3.55, 9 Sn 3.48-3.72
3 La 0.1492 0.2500 0.9830  8 Sn 3.30-3.37, 6 Pd 3.35-3.61
4 La 0.3508 0.7500 0.4830  8 Sn 3.30-3.37, 6 Pd 3.35-3.61
5 La 0.3584 0.2500 0.1183  6 Pd 3.45-3.55, 9 Sn 3.48-3.72
6 La 0.3843 0.7500 0.7486  9 Sn 3.41-3.77, 6 Pd 3.51-3.68
7 La 0.6157 0.2500 0.2514  9 Sn 3.41-3.77, 6 Pd 3.51-3.68
8 La 0.6416 0.7500 0.8817  6 Pd 3.45-3.55, 9 Sn 3.48-3.72
9 La 0.6492 0.2500 0.5170  8 Sn 3.30-3.37, 6 Pd 3.35-3.61
10 La 0.8508 0.7500 0.0170  8 Sn 3.30-3.37, 6 Pd 3.35-3.61
11 La 0.8584 0.2500 0.3817  6 Pd 3.45-3.55, 9 Sn 3.48-3.72
12 La 0.8843 0.7500 0.7514  9 Sn 3.41-3.77, 6 Pd 3.51-3.68
13 Sn 0.0260 0.7500 0.9175  3 Pd 2.66-2.90
14 Sn 0.0524 0.2500 0.4616  4 Pd 2.68-2.76
15 Sn 0.0571 0.2500 0.7701  3 Pd 2.62-2.74
16 Sn 0.1713 0.7500 0.3942  4 Pd 2.73-2.77
17 Sn 0.1888 0.7500 0.8366  3 Pd 2.63-2.79
18 Sn 0.2063 0.7500 0.1204  3 Pd 2.64-2.72
19 Sn 0.2937 0.2500 0.6204  3 Pd 2.64-2.72
20 Sn 0.3112 0.2500 0.3366  3 Pd 2.63-2.79
21 Sn 0.3287 0.2500 0.8942  4 Pd 2.73-2.77
22 Sn 0.4429 0.7500 0.2701  3 Pd 2.62-2.74
23 Sn 0.4476 0.7500 0.9616  4 Pd 2.68-2.76
24 Sn 0.4740 0.2500 0.4175  3 Pd 2.66-2.90
25 Sn 0.5260 0.7500 0.5825  3 Pd 2.66-2.90
26 Sn 0.5524 0.2500 0.0384  4 Pd 2.68-2.76
27 Sn 0.5571 0.2500 0.7299  3 Pd 2.62-2.74
28 Sn 0.6713 0.7500 0.1058  4 Pd 2.73-2.77
29 Sn 0.6888 0.7500 0.6634  3 Pd 2.63-2.79
30 Sn 0.7063 0.7500 0.3796  3 Pd 2.64-2.72
31 Sn 0.7937 0.2500 0.8796  3 Pd 2.64-2.72
32 Sn 0.8112 0.2500 0.1634  3 Pd 2.63-2.79
33 Sn 0.8287 0.2500 0.6058  4 Pd 2.73-2.77
34 Sn 0.9429 0.7500 0.2299  3 Pd 2.62-2.74
35 Sn 0.9476 0.7500 0.5384  4 Pd 2.68-2.76
36 Sn 0.9740 0.2500 0.0825  3 Pd 2.66-2.90
37 Pd 0.0113 0.7500 0.3788  5 Sn 2.62-2.76
38 Pd 0.0480 0.7500 0.0997  5 Sn 2.66-2.90
39 Pd 0.2093 0.2500 0.4748  5 Sn 2.68-2.79
40 Pd 0.2177 0.2500 0.7663  5 Sn 2.63-2.77
41 Pd 0.2823 0.7500 0.2663  5 Sn 2.63-2.77
42 Pd 0.2907 0.7500 0.9748  5 Sn 2.68-2.79
43 Pd 0.4520 0.2500 0.5997  5 Sn 2.66-2.90
44 Pd 0.4887 0.2500 0.8788  5 Sn 2.62-2.76
45 Pd 0.5113 0.7500 0.1212  5 Sn 2.62-2.76
46 Pd 0.5480 0.7500 0.4003  5 Sn 2.66-2.90
47 Pd 0.7093 0.2500 0.0252  5 Sn 2.68-2.79
48 Pd 0.7177 0.2500 0.7337  5 Sn 2.63-2.77
49 Pd 0.7823 0.7500 0.2337  5 Sn 2.63-2.77
50 Pd 0.7907 0.7500 0.5252  5 Sn 2.68-2.79
51 Pd 0.9520 0.2500 0.9003  5 Sn 2.66-2.90
52 Pd 0.9887 0.2500 0.6212  5 Sn 2.62-2.76

SG = No. 62
DFT total energy = -281.174 eV per cell

---

(2)
Entry from OQMD via LeMat-Bulk: Ho4CoPt3 after structural relaxation (GGA-PBE).

a = 5.5570 Å, b = 4.3549 Å, c = 7.0582 Å
α = 90.00°, β = 90.56°, γ = 90.00°
Last column: nearest neighbours and their distance in Å.
Fractional positions:
1 Ho 0.0000 0.0000 0.0000  5 Pt 2.87-3.03, 2 Co 2.93
2 Ho 0.2227 0.0000 0.5108  2 Co 2.92, 5 Pt 2.93-3.10
3 Ho 0.4914 0.5000 0.8624  2 Co 2.89-3.01, 5 Pt 2.93-3.08
4 Ho 0.7229 0.5000 0.3670  6 Pt 2.83-3.04, 1 Co 2.94
5 Co 0.0009 0.5000 0.7228  2 Pt 2.71, 7 Ho 2.89-3.01
6 Pt 0.2019 0.5000 0.2328  7 Ho 2.83-3.08, 2 Pt 2.87
7 Pt 0.5166 0.0000 0.1404  2 Pt 2.87, 7 Ho 2.87-3.10
8 Pt 0.7250 0.0000 0.6470  2 Co 2.71, 7 Ho 2.91-2.96

energy relative to the elements = -1.00 eV per atom
SG = No. 6

---

(3)
Entry from OQMD via LeMat-Bulk: BeCdCuAs after structural relaxation (GGA-PBE).

a = 4.4575 Å, b = 4.4575 Å, c = 4.4575 Å
α = 60.00°, β = 60.00°, γ = 60.00°
Last column: nearest neighbours and their distance in Å.
Fractional positions:
1 Be 0.0000 0.0000 0.0000  4 Cd 2.73, 4 As 2.73
2 Cd 0.7500 0.7500 0.7500  4 Be 2.73, 4 Cu 2.73
3 Cu 0.5000 0.5000 0.5000  4 Cd 2.73, 4 As 2.73
4 As 0.2500 0.2500 0.2500  4 Be 2.73, 4 Cu 2.73

SG = No. 216
polymorph energy (0 for the lowest one) = 0.000 eV per atom

---

(4)
Entry from OQMD via LeMat-Bulk: LiPu after structural relaxation (GGA-PBE).

a = 3.0389 Å, b = 3.0389 Å, c = 5.4777 Å
α = 90.00°, β = 90.00°, γ = 120.00°
Last column: nearest neighbours and their distance in Å.
Fractional positions:
1 Li 0.0000 0.0000 0.0000  6 Li 3.04, 6 Pu 3.25
2 Pu 0.6667 0.3333 0.5000  6 Pu 3.04, 6 Li 3.25

SG = No. 187
polymorph energy (0 for the lowest one) = 0.000 eV per atom

---

(5)
Entry from OQMD via LeMat-Bulk: AcErO3 after structural relaxation (GGA-PBE).

a = 6.2976 Å, b = 6.2976 Å, c = 6.2976 Å
α = 57.00°, β = 57.00°, γ = 57.00°
Last column: nearest neighbours and their distance in Å.
Fractional positions:
1 Ac 0.1310 0.1310 0.1310  6 O 2.44-2.60
2 Ac 0.8690 0.8690 0.8690  6 O 2.44-2.60
3 Er 0.3516 0.3516 0.3516  6 O 2.23-2.32
4 Er 0.6484 0.6484 0.6484  6 O 2.23-2.32
5 O 0.0498 0.7113 0.4761  2 Er 2.23-2.32, 1 Ac 2.44
6 O 0.2887 0.5239 0.9502  2 Er 2.23-2.32, 1 Ac 2.44
7 O 0.4761 0.0498 0.7113  2 Er 2.23-2.32, 1 Ac 2.44
8 O 0.5239 0.9502 0.2887  2 Er 2.23-2.32, 1 Ac 2.44
9 O 0.7113 0.4761 0.0498  2 Er 2.23-2.32, 1 Ac 2.44
10 O 0.9502 0.2887 0.5239  2 Er 2.23-2.32, 1 Ac 2.44

SG = No. 148
DFT total energy = -81.200 eV per cell